## KHgP2O (PBE)

Data for an optimized crystal structure of KHgP2O.

Calculated values
**Distance to the lowest polymorph of the same formula**: 0.0 kJ/mol of atoms
**Energy**: -2.8053 eV/atom
**Raw formation energy**: 0.6302 eV/atom

a b c (Å): 5.142 5.142 4.515
angles (deg): 90.00 90.00 90.00
Positions (direct):
K1 0.000 0.000 0.000
Hg1 0.500 0.500 0.500
P1 0.000 0.500 0.500
P2 0.500 0.000 0.500
O1 0.500 0.500 0.000

=====

## NaSn3Te6Pb2 (PBE)

Data for an optimized crystal structure of NaSn3Te6Pb2.

Calculated values
**Energy**: -3.6878 eV/atom
**Raw formation energy**: -0.3882 eV/atom

a b c (Å): 10.214 10.214 9.178
angles (deg): 104.03 104.03 25.37
Positions (direct):
Na1 0.000 0.000 0.000
Sn1 0.000 0.000 0.500
Sn2 0.333 0.333 0.166
Sn3 0.667 0.667 0.834
Te1 0.165 0.165 0.588
Te2 0.169 0.169 0.077
Te3 0.497 0.497 0.256
Te4 0.503 0.503 0.744
Te5 0.831 0.831 0.923
Te6 0.835 0.835 0.412
Pb1 0.338 0.338 0.670
Pb2 0.662 0.662 0.330

=====

The records above yield magnetization values of 2.041 0.000 μB per formula unit, respectively.